1.
Density functional theory data (PBE-GGA) for an optimized crystal structure of Zr2CoP.

Cell: 5.259 3.648 7.434 Å, 90.00 110.97 90.00°
Fractional positions:
Co: 0.645 0.750 0.291
Co: 0.355 0.250 0.709
P: 0.354 0.250 0.211
P: 0.646 0.750 0.789
Zr: 0.789 0.250 0.080
Zr: 0.210 0.750 0.435
Zr: 0.790 0.250 0.565
Zr: 0.211 0.750 0.920

Calculated values
Total energy ... -66.69 eV for the cell shown

2.
Density functional theory data (PBE-GGA) for an optimized crystal structure of KTbFeS3.

Cell: 10.860 4.111 11.983 Å, 90.00 90.00 90.00°
Fractional positions:
Fe: 0.742 0.000 0.210
Fe: 0.242 0.000 0.290
Fe: 0.758 0.500 0.710
Fe: 0.258 0.500 0.790
K: 0.169 0.000 0.005
K: 0.669 0.000 0.495
K: 0.331 0.500 0.505
K: 0.831 0.500 0.995
S: 0.606 0.000 0.061
S: 0.947 0.000 0.172
S: 0.216 0.500 0.201
S: 0.716 0.500 0.299
S: 0.447 0.000 0.328
S: 0.106 0.000 0.439
S: 0.894 0.500 0.561
S: 0.553 0.500 0.672
S: 0.284 0.000 0.701
S: 0.784 0.000 0.799
S: 0.053 0.500 0.828
S: 0.394 0.500 0.939
Tb: 0.481 0.500 0.173
Tb: 0.981 0.500 0.327
Tb: 0.019 0.000 0.673
Tb: 0.519 0.000 0.827

Calculated values
Polymorph energy (0 for the lowest one) ... 65 meV/atom
Total energy ... -136.38 eV for the cell shown

3.
Density functional theory data (PBE-GGA) for an optimized crystal structure of RbGdTeS.

Cell: 4.306 4.306 16.381 Å, 90.00 90.00 120.00°
Fractional positions:
Gd: 0.000 0.000 0.013
Gd: 0.000 0.000 0.513
Rb: 0.667 0.333 0.240
Rb: 0.333 0.667 0.740
S: 0.333 0.667 0.097
S: 0.667 0.333 0.597
Te: 0.333 0.667 0.400
Te: 0.667 0.333 0.900

Calculated values
Polymorph energy (0 for the lowest one) ... 2 meV/atom
Total energy ... -38.51 eV for the cell shown

4.
Density functional theory data (PBE-GGA) for an optimized crystal structure of TbYAl4Co2.

Cell: 7.022 5.408 5.408 Å, 43.98 90.00 90.00°
Fractional positions:
Al: 0.194 0.160 0.160
Al: 0.806 0.160 0.160
Al: 0.306 0.840 0.840
Al: 0.694 0.840 0.840
Co: 0.500 0.285 0.285
Co: 0.000 0.715 0.715
Tb: 0.000 0.439 0.439
Y: 0.500 0.561 0.561

Calculated values
Total energy ... -44.57 eV for the cell shown

5.
Density functional theory data (PBE-GGA) for an optimized crystal structure of Ho3ErTe2C2.

Cell: 3.811 3.811 13.928 Å, 90.00 90.00 120.00°
Fractional positions:
C: 0.333 0.667 0.500
C: 0.333 0.667 0.000
Er: 0.000 0.000 0.907
Ho: 0.667 0.333 0.093
Ho: 0.667 0.333 0.407
Ho: 0.000 0.000 0.593
Te: 0.000 0.000 0.250
Te: 0.667 0.333 0.750

Calculated values
Total energy ... -50.08 eV for the cell shown

Which value of total energy does entry 3 give?
-38.51 eV for the cell shown